A geometry-optimized InAs2Au structure, computed with GGA-PBE.

Cell lengths 5.3397, 2.9262, 5.4070 Å; angles 89.97, 90.00, 90.00 degrees
Closest atoms and distances in Å follow each position.
Positions (direct):
In1 0.5000 0.8327 0.6251  2 As 2.81, 2 In 2.93, 4 Au 3.03-3.06
As1 0.5000 0.0927 0.1250  4 As 2.71-2.93, 2 In 2.81
As2 0.0000 0.2505 0.1250  4 As 2.71-2.93, 2 Au 2.71
Au1 0.0000 0.3240 0.6250  2 As 2.71, 2 Au 2.93, 2 In 3.03

Density: 9.07 Mg/m³
Fermi-level density of states: 1.767 states/eV/f.u.
Energy of formation from the pure elements: 0.076 eV per atom

=====

A geometry-optimized InAs2Au structure, computed with GGA-PBE.

Cell lengths 6.0107, 6.0107, 7.4180 Å; angles 66.10, 66.10, 90.00 degrees
Closest atoms and distances in Å follow each position.
Positions (direct):
As1 0.0993 0.6250 0.2500  2 Au 2.53, 2 In 2.70
As2 0.6507 0.1250 0.2500  2 Au 2.53, 2 In 2.70
As3 0.3750 0.3493 0.7500  2 Au 2.53, 2 In 2.70
As4 0.8750 0.9007 0.7500  2 Au 2.53, 2 In 2.70
In1 0.5000 0.5000 0.0000  4 As 2.70
In2 0.2500 0.7500 0.5000  4 As 2.70
Au1 0.0000 0.0000 0.0000  4 As 2.53
Au2 0.7500 0.2500 0.5000  4 As 2.53

Density: 6.98 Mg/m³
Fermi-level density of states: 1.679 states/eV/f.u.
Energy of formation from the pure elements: 0.046 eV per atom

=====

A geometry-optimized InAs2Au structure, computed with GGA-PBE.

Cell lengths 3.3470, 3.3470, 7.9943 Å; angles 90.00, 90.00, 103.57 degrees
Closest atoms and distances in Å follow each position.
Positions (direct):
As1 0.0000 0.0000 0.4631  2 Au 2.68
As2 0.0000 0.0000 0.0369  2 Au 2.68
Au1 0.5000 0.5000 0.2500  4 As 2.68
In1 0.5000 0.5000 0.7500  4 As 3.09, 4 In 3.35

Density: 8.81 Mg/m³
Fermi-level density of states: 1.547 states/eV/f.u.
Energy of formation from the pure elements: 0.230 eV per atom

=====

A geometry-optimized InAsAu3 structure, computed with GGA-PBE.

Cell lengths 5.0190, 5.0190, 5.0190 Å; angles 90.00, 90.00, 90.00 degrees
Closest atoms and distances in Å follow each position.
Positions (direct):
Au1 0.0000 0.5000 0.0000  2 As 2.51
Au2 0.0000 0.0000 0.5000  2 As 2.51
Au3 0.5000 0.0000 0.0000  2 As 2.51
In1 0.5000 0.5000 0.5000  12 Au 3.55
As1 0.0000 0.0000 0.0000  6 Au 2.51

Density: 10.25 Mg/m³
Fermi-level density of states: 1.942 states/eV/f.u.
Excess energy over the best structure of this formula in the dataset: 0.0000 eV/atom
Energy of formation from the pure elements: 0.185 eV per atom

=====

A geometry-optimized In3AsAu structure, computed with GGA-PBE.

Cell lengths 5.2894, 5.2894, 5.2894 Å; angles 90.00, 90.00, 90.00 degrees
Closest atoms and distances in Å follow each position.
Positions (direct):
As1 0.5000 0.5000 0.5000  12 In 3.74
In1 0.0000 0.5000 0.0000  2 Au 2.64
In2 0.5000 0.0000 0.0000  2 Au 2.64
In3 0.0000 0.0000 0.5000  2 Au 2.64
Au1 0.0000 0.0000 0.0000  6 In 2.64

Density: 6.92 Mg/m³
Fermi-level density of states: 4.889 states/eV/f.u.
Excess energy over the best structure of this formula in the dataset: 0.0000 eV/atom
Energy of formation from the pure elements: 0.256 eV per atom

=====

A geometry-optimized InAs4Au structure, computed with GGA-PBE.

Cell lengths 5.6569, 5.6569, 5.6569 Å; angles 60.00, 60.00, 60.00 degrees
Closest atoms and distances in Å follow each position.
Positions (direct):
As1 0.8674 0.3775 0.3775  6 As 2.77-2.89
As2 0.3775 0.8674 0.3775  6 As 2.77-2.89
As3 0.3775 0.3775 0.3775  6 As 2.77-2.89
As4 0.3775 0.3775 0.8674  6 As 2.77-2.89
Au1 0.7500 0.7500 0.7500  12 As 3.31, 4 In 3.46
In1 0.0000 0.0000 0.0000  12 As 3.32, 4 Au 3.46

Density: 7.93 Mg/m³
Fermi-level density of states: 4.126 states/eV/f.u.
Energy of formation from the pure elements: 0.371 eV per atom

=====

A geometry-optimized In2AsAu2 structure, computed with GGA-PBE.

Cell lengths 8.1223, 8.1223, 3.3444 Å; angles 90.00, 90.00, 90.00 degrees
Closest atoms and distances in Å follow each position.
Positions (direct):
In1 0.3203 0.8203 0.0000  6 Au 2.83-3.00, 2 As 2.98
In2 0.8203 0.6797 0.0000  6 Au 2.83-3.00, 2 As 2.98
In3 0.1797 0.3203 0.0000  6 Au 2.83-3.00, 2 As 2.98
In4 0.6797 0.1797 0.0000  6 Au 2.83-3.00, 2 As 2.98
Au1 0.6214 0.8786 0.5000  1 Au 2.79, 6 In 2.83-3.00
Au2 0.3786 0.1214 0.5000  1 Au 2.79, 6 In 2.83-3.00
Au3 0.1214 0.6214 0.5000  1 Au 2.79, 6 In 2.83-3.00
Au4 0.8786 0.3786 0.5000  1 Au 2.79, 6 In 2.83-3.00
As1 0.0000 0.0000 0.0000  4 In 2.98
As2 0.5000 0.5000 0.0000  4 In 2.98

Density: 10.51 Mg/m³
Fermi-level density of states: 5.808 states/eV/f.u.
Excess energy over the best structure of this formula in the dataset: 0.0711 eV/atom
Energy of formation from the pure elements: 0.076 eV per atom

=====

A geometry-optimized InAs2Au structure, computed with GGA-PBE.

Cell lengths 3.6434, 3.6434, 6.8802 Å; angles 90.00, 90.00, 90.00 degrees
Closest atoms and distances in Å follow each position.
Positions (direct):
As1 0.0000 0.0000 0.0708  1 As 2.47
As2 0.0000 0.0000 0.4292  1 As 2.47
In1 0.5000 0.5000 0.7500  8 As 3.39, 2 Au 3.44, 4 In 3.64
Au1 0.5000 0.5000 0.2500  8 As 2.86

Density: 8.39 Mg/m³
Fermi-level density of states: 2.064 states/eV/f.u.
Energy of formation from the pure elements: 0.221 eV per atom